Below is ErFe3B4O12 after structural relaxation, with properties calculated at the PBE with a Hubbard U level.

a b c (Å): 6.1073 6.1073 6.1073
angles (deg): 103.86 103.86 103.86
Each line ends with the local moment (μB).
Atoms (fractional coordinates):
1 B 0.5000 0.5000 0.5000  0.03
2 B 0.5000 0.9495 0.0505  0.02
3 B 0.0505 0.5000 0.9495  0.02
4 B 0.9495 0.0505 0.5000  0.02
5 O 0.5000 0.3563 0.6437  0.16
6 O 0.3649 0.9704 0.2023  0.09
7 O 0.9070 0.5000 0.0930  0.14
8 O 0.0930 0.9070 0.5000  0.14
9 O 0.6351 0.7977 0.0296  0.09
10 O 0.2023 0.3649 0.9704  0.09
11 O 0.5000 0.0930 0.9070  0.14
12 O 0.6437 0.5000 0.3563  0.16
13 O 0.9704 0.2023 0.3649  0.09
14 O 0.0296 0.6351 0.7977  0.09
15 O 0.7977 0.0296 0.6351  0.09
16 O 0.3563 0.6437 0.5000  0.16
17 Fe 0.5489 0.4511 0.0000  4.40
18 Fe 0.0000 0.5489 0.4511  4.40
19 Fe 0.4511 0.0000 0.5489  4.40
20 Er 0.0000 0.0000 0.0000  0.03

- Calculated volume: 10.2 Å³ per atom
- Mass density: 4.6 g/cm3
- Calculated total energy: -7.628 eV/atom
- Symmetry: R32 (155)